Compound: Si2RuSe
Source: Alexandria
Functional: PBE-GGA
Structure: relaxed

Cell and atoms, written as POSCAR:
```
Si2RuSe
1.0
-0.8944 -0.4118 -4.1899
1.8220 -2.9278 -2.5755
-3.4851 -3.1423 0.9667
Ru Se Si
1 1 2
Direct
0.7500 0.7500 0.7500
0.2500 0.2500 0.2500
0.0712 0.0712 0.8196
0.4288 0.4288 0.6804
```

Compound: SiRuSe2
Source: Alexandria
Functional: PBE-GGA
Structure: relaxed

Cell and atoms, written as POSCAR:
```
SiRuSe2
1.0
-2.8229 2.5317 0.1742
-3.3736 -3.7254 -0.5249
-2.0554 -2.5559 3.8394
Ru Se Si
1 2 1
Direct
0.5000 0.7500 0.7500
0.0000 0.9328 0.9330
0.0000 0.5672 0.5670
0.5000 0.2500 0.2500
```

Compound: SiRuSe
Source: Alexandria
Functional: PBE-GGA
Structure: relaxed

Cell and atoms, written as POSCAR:
```
SiRuSe
1.0
-3.2182 0.6597 2.5738
-3.7055 -1.7442 -0.8027
-1.4134 -3.0996 2.4107
Ru Se Si
1 1 1
Direct
0.0000 0.0000 0.0000
0.5000 0.5000 0.5000
0.7500 0.7500 0.7500
```

Compound: Si2RuSe
Source: Alexandria
Functional: PBE-GGA
Structure: relaxed

Cell and atoms, written as POSCAR:
```
Si2RuSe
1.0
-0.3544 -4.6041 -0.8364
0.0165 -2.0721 4.2107
-2.6515 3.5355 -1.5789
Ru Se Si
1 1 2
Direct
0.2500 0.7500 0.5000
0.7500 0.2500 0.5000
0.0000 0.0000 0.0000
0.5000 0.5000 0.0000
```

Results for total DFT energy (no corrections): -23.093; -21.616; -17.042; -22.052 (in eV per cell, following the order of the records).
Results for formation energy from raw total energies: 0.13; 0.01; 0.38; 0.39 (in eV per atom, following the order of the records).